# Cr4PdW, relaxed, DFT PBE
# Space group: F-43m, No. 216
# Size of the total moment, μB per formula unit: 0.00
# DOS(E_F), states/eV per cell: 9.075
# Energy of formation from the pure elements, meV per atom: 109.0
# Final energy, eV/atom: -9.33
data_Cr4PdW
_space_group_name_H-M_alt 'P 1'
_space_group_IT_number 1
_cell_length_a 4.7942
_cell_length_b 4.7942
_cell_length_c 4.7942
_cell_angle_alpha 60.00
_cell_angle_beta 60.00
_cell_angle_gamma 60.00
loop_
_space_group_symop_operation_xyz
'x,y,z'
loop_
_atom_site_label
_atom_site_fract_x
_atom_site_fract_y
_atom_site_fract_z
Cr1 0.6240 0.6240 0.1281
Cr2 0.6240 0.1281 0.6240
Cr3 0.6240 0.6240 0.6240
Cr4 0.1281 0.6240 0.6240
Pd1 0.0000 0.0000 0.0000
W1 0.2500 0.2500 0.2500